# 1
Al2HO3: optimized geometry, PBE.

Values from the calculation:
Uncorrected energy = -6.23 eV per atom

Cell: 5.5529 6.0677 6.9716 Å, 90.00 90.00 90.00°
Closest atoms and distances in Å follow each position.
Space group Imma (No. 74)
Asymmetric unit:
Al 0.0000 0.2500 0.1886 x4  5 O 1.81-1.88
Al 0.2500 0.2500 0.7500 x4  4 O 1.84-1.87, 2 H 1.85
H 0.0000 0.2500 0.5751 x4  2 Al 1.85
O 0.0000 0.2500 0.9294 x4  3 Al 1.81-1.87
O 0.2500 0.0539 0.2500 x8  3 Al 1.84-1.88

=====

# 2
AlHO2: optimized geometry, PBE.

Values from the calculation:
Uncorrected energy = -6.34 eV per atom

Cell: 3.8234 3.9358 3.9018 Å, 90.00 90.00 90.00°
Closest atoms and distances in Å follow each position.
Space group Pmc2_1 (No. 26)
Asymmetric unit:
Al 0.0000 0.2382 0.0000 x2  6 O 1.90-2.03
H 0.5000 0.4444 0.7724 x2  1 O 1.02
O 0.0000 0.2453 0.4917 x2  4 Al 1.90-2.03
O 0.5000 0.2835 0.9760 x2  1 H 1.02

=====

# 3
AlHO2: optimized geometry, PBE.

Values from the calculation:
Uncorrected energy = -6.39 eV per atom

Cell: 2.9629 3.7370 7.0111 Å, 104.00 100.91 90.09°
Closest atoms and distances in Å follow each position.
Space group P1 (No. 1)
Asymmetric unit:
Al 0.0000 0.0000 0.0000 x1  6 O 1.87-2.00
Al 0.3336 0.3618 0.6937 x1  2 O 1.72-1.74
H 0.3611 0.5468 0.0942 x1  1 O 1.00
H 0.6698 0.1642 0.3329 x1  1 O 1.03
O 0.0812 0.4928 0.9856 x1  1 H 1.00
O 0.4293 0.9115 0.8069 x1  4 Al 1.93-2.03
O 0.5935 0.0774 0.1783 x1  1 H 1.03
O 0.7758 0.2996 0.5596 x1  1 H 1.52

=====

# 4
AlHO2: optimized geometry, PBE.

Values from the calculation:
Uncorrected energy = -6.31 eV per atom

Cell: 4.1478 14.4788 3.2124 Å, 90.00 90.00 90.00°
Closest atoms and distances in Å follow each position.
Space group Pmmn (No. 59, origin choice 2)
Asymmetric unit:
Al 0.2500 0.0762 0.0444 x4  3 O 1.71-1.90
H 0.2500 0.5867 0.2963 x4  1 O 0.99
O 0.2500 0.1186 0.5416 x4  2 Al 1.71-1.73
O 0.2500 0.5551 0.0233 x4  1 H 0.99

=====

# 5
AlHO2: optimized geometry, PBE.

Values from the calculation:
Uncorrected energy = -4.14 eV per atom

Cell: 2.8522 26.4719 3.1257 Å, 90.00 90.00 90.00°
Closest atoms and distances in Å follow each position.
Space group Pmmn (No. 59, origin choice 2)
Asymmetric unit:
Al 0.2500 0.0342 0.2496 x4  2 H 1.77
H 0.2500 0.5735 0.7480 x4  2 Al 1.77
O 0.2500 0.1483 0.7761 x4  1 O 1.24
O 0.2500 0.1936 0.8762 x4  1 O 1.24

=====

# 6
AlHO2: optimized geometry, PBE.

Values from the calculation:
Uncorrected energy = -6.51 eV per atom

Cell: 2.9095 16.5645 3.6761 Å, 90.00 90.00 90.00°
Closest atoms and distances in Å follow each position.
Space group Pmmn (No. 59, origin choice 2)
Asymmetric unit:
Al 0.2500 0.0515 0.2497 x4  6 O 1.87-1.98
H 0.2500 0.6608 0.5355 x4  1 O 0.97
O 0.2500 0.0300 0.7515 x4  4 Al 1.87-1.98
O 0.2500 0.6263 0.7494 x4  1 H 0.97

=====

# 7
AlHO2: optimized geometry, PBE.

Values from the calculation:
Uncorrected energy = -4.35 eV per atom

Cell: 2.9641 2.9641 15.4844 Å, 90.00 90.00 120.00°
Closest atoms and distances in Å follow each position.
Space group R-3m (No. 166, hexagonal axes)
Asymmetric unit:
Al 0.0000 0.0000 0.0000 x3  2 O 1.66
H 0.0000 0.0000 0.5000 x3  6 O 1.95
O 0.0000 0.0000 0.1069 x6  1 Al 1.66

=====

# 8
AlH2OsO: optimized geometry, PBE.

Values from the calculation:
Uncorrected energy = -5.20 eV per atom

Cell: 3.1130 3.1130 5.3553 Å, 90.00 90.00 90.00°
Closest atoms and distances in Å follow each position.
Space group P4/mmm (No. 123)
Asymmetric unit:
Al 0.0000 0.0000 0.0000 x1  4 O 2.20
H 0.0000 0.5000 0.5000 x2  2 Os 1.56
Os 0.0000 0.0000 0.5000 x1  4 H 1.56
O 0.5000 0.5000 0.0000 x1  4 Al 2.20

=====

# 9
AlPHO2: optimized geometry, PBE.

Values from the calculation:
Uncorrected energy = -4.27 eV per atom
Energy above the most stable polymorph in this dataset = 519 meV/atom

Cell: 4.0116 4.0116 2.9424 Å, 90.00 90.00 90.00°
Closest atoms and distances in Å follow each position.
Space group P4/mmm (No. 123)
Asymmetric unit:
Al 0.0000 0.0000 0.0000 x1  8 O 2.49
P 0.5000 0.5000 0.0000 x1  2 H 1.47
H 0.5000 0.5000 0.5000 x1  2 P 1.47
O 0.0000 0.5000 0.5000 x2  2 H 2.01

=====

# 10
AlP2H5O9: optimized geometry, PBE.

Values from the calculation:
Uncorrected energy = -6.31 eV per atom

Cell: 7.9333 9.2678 9.3982 Å, 90.00 110.53 90.00°
Closest atoms and distances in Å follow each position.
Space group P2_1/c (No. 14)
Asymmetric unit:
Al 0.1352 0.2173 0.4376 x4  6 O 1.86-1.95
P 0.1258 0.6206 0.8642 x4  4 O 1.52-1.62
P 0.3776 0.1060 0.7668 x4  4 O 1.51-1.59
H 0.1241 0.0907 0.1389 x4  1 O 0.99
H 0.2264 0.6040 0.2299 x4  1 O 0.99
H 0.2641 0.0378 0.0671 x4  1 O 0.99
H 0.3741 0.6977 0.5747 x4  1 O 1.01
H 0.4284 0.6474 0.9239 x4  1 O 0.99
O 0.0236 0.6536 0.9697 x4  1 P 1.52
O 0.0723 0.7149 0.7221 x4  1 P 1.53
O 0.1180 0.0410 0.3242 x4  1 P 1.54
O 0.1595 0.1024 0.0482 x4  2 H 0.99
O 0.2876 0.2067 0.8442 x4  1 P 1.51
O 0.3306 0.6633 0.9654 x4  1 H 0.99
O 0.3413 0.5582 0.2907 x4  1 H 0.99
O 0.3441 0.1411 0.6001 x4  1 P 1.53
O 0.4114 0.6108 0.6443 x4  1 H 1.01

=====

# 11
AlPHO2: optimized geometry, PBE.

Values from the calculation:
Uncorrected energy = -4.79 eV per atom
Energy above the most stable polymorph in this dataset = 0 meV/atom

Cell: 3.4471 3.4471 5.9631 Å, 90.00 90.00 90.00°
Closest atoms and distances in Å follow each position.
Space group P4/mmm (No. 123)
Asymmetric unit:
Al 0.0000 0.0000 0.0000 x1  4 O 1.72
P 0.0000 0.0000 0.5000 x1  4 H 2.44
H 0.5000 0.5000 0.5000 x1  4 P 2.44
O 0.0000 0.5000 0.0000 x2  2 Al 1.72

=====

# 12
AlPH4O6: optimized geometry, PBE.

Values from the calculation:
Uncorrected energy = -6.20 eV per atom

Cell: 5.1781 9.7994 9.7957 Å, 90.00 120.54 90.00°
Closest atoms and distances in Å follow each position.
Space group P2_1/c (No. 14)
Asymmetric unit:
Al 0.1169 0.1736 0.2100 x4  6 O 1.89-1.94
P 0.2680 0.6437 0.6751 x4  4 O 1.55-1.56
H 0.0928 0.0410 0.7569 x4  1 O 1.01
H 0.3289 0.1614 0.5141 x4  1 O 0.99
H 0.3725 0.5611 0.3043 x4  1 O 1.00
H 0.4133 0.6854 0.0259 x4  1 O 1.00
O 0.0666 0.6768 0.7461 x4  1 P 1.55, 1 H 1.56
O 0.1378 0.7079 0.5082 x4  1 P 1.55, 1 H 1.70
O 0.1555 0.5578 0.2699 x4  2 H 1.00-1.01
O 0.2894 0.0141 0.1693 x4  1 P 1.55, 1 H 1.70
O 0.3847 0.1436 0.4329 x4  2 H 0.99-1.00
O 0.4158 0.2063 0.7155 x4  1 P 1.56

=====

# 13
AlPH4O6: optimized geometry, PBE.

Values from the calculation:
Uncorrected energy = -6.20 eV per atom

Cell: 8.6345 9.6779 9.9762 Å, 90.00 90.00 90.00°
Closest atoms and distances in Å follow each position.
Space group Pbca (No. 61)
Asymmetric unit:
Al 0.1562 0.1672 0.1343 x8  6 O 1.87-1.96
P 0.0272 0.6476 0.6476 x8  4 O 1.54-1.56
H 0.1474 0.5634 0.9704 x8  1 O 0.98
H 0.1547 0.5845 0.3214 x8  1 O 1.00
H 0.2003 0.1794 0.3787 x8  1 O 1.00
H 0.2105 0.0510 0.5752 x8  1 O 1.02
O 0.0166 0.0125 0.1489 x8  1 P 1.55, 1 H 1.66
O 0.0170 0.2104 0.7160 x8  1 P 1.54
O 0.0861 0.2068 0.9596 x8  1 P 1.56, 1 H 1.68
O 0.1785 0.5492 0.0634 x8  2 H 0.98-1.02
O 0.1979 0.6849 0.6125 x8  1 P 1.56, 1 H 1.56
O 0.2347 0.1133 0.3075 x8  2 H 1.00

=====

The records above give, respectively, M_tot values of 4.11, 0.00, 0.04, 0.00, 7.60, 0.00, 0.00, 0.00, 0.00, 0.00, 1.67, 0.00, 0.00 Bohr magnetons per cell.